First-principles (GGA-PBE) data for crystalline Lu at its relaxed geometry, as listed in the Open Quantum Materials Database.

abc: 4.608 4.608 4.608
angles: 97.24 97.24 138.42
Element x y z (fractional)
Lu1 0.375 0.625 0.750
Lu2 0.625 0.375 0.250

Results
ΔE to the lowest computed polymorph	498	meV per atom
formation energy	0.498	eV per atom

First-principles (GGA-PBE) data for crystalline Lu at its relaxed geometry, as listed in the Open Quantum Materials Database.

abc: 3.502 3.502 5.451
angles: 90.00 90.00 120.00
Element x y z (fractional)
Lu1 0.333 0.667 0.250
Lu2 0.667 0.333 0.750

Results
ΔE to the lowest computed polymorph	0	meV per atom
formation energy	0.000	eV per atom

First-principles (GGA-PBE) data for crystalline Lu at its relaxed geometry, as listed in the Open Quantum Materials Database.

abc: 3.442 3.442 3.442
angles: 60.00 60.00 60.00
Element x y z (fractional)
Lu1 0.000 0.000 0.000

Results
ΔE to the lowest computed polymorph	42	meV per atom
formation energy	0.042	eV per atom

First-principles (GGA-PBE) data for crystalline Lu at its relaxed geometry, as listed in the Open Quantum Materials Database.

abc: 6.620 6.620 3.594
angles: 90.00 90.00 131.05
Element x y z (fractional)
Lu1 0.138 0.862 0.997
Lu2 0.362 0.638 0.497
Lu3 0.638 0.362 0.503
Lu4 0.862 0.138 0.003

Results
ΔE to the lowest computed polymorph	217	meV per atom
formation energy	0.217	eV per atom

First-principles (GGA-PBE) data for crystalline LuMg at its relaxed geometry, as listed in the Open Quantum Materials Database.

abc: 5.809 5.343 6.765
angles: 90.00 90.00 90.00
Element x y z (fractional)
Lu1 0.097 0.250 0.128
Lu2 0.403 0.750 0.628
Lu3 0.597 0.250 0.372
Lu4 0.903 0.750 0.872
Mg1 0.078 0.250 0.624
Mg2 0.422 0.750 0.124
Mg3 0.578 0.250 0.876
Mg4 0.922 0.750 0.376

Results
uncorrected energy	-3.000	eV/atom

First-principles (GGA-PBE) data for crystalline LuMg at its relaxed geometry, as listed in the Open Quantum Materials Database.

abc: 5.405 8.903 8.903
angles: 142.08 90.00 90.00
Element x y z (fractional)
Lu1 0.000 0.000 0.000
Lu2 0.000 0.403 0.604
Lu3 0.000 0.604 0.403
Lu4 0.500 0.059 0.264
Lu5 0.500 0.264 0.059
Mg1 0.000 0.197 0.794
Mg2 0.000 0.794 0.197
Mg3 0.500 0.470 0.871
Mg4 0.500 0.661 0.661
Mg5 0.500 0.871 0.470

Results
uncorrected energy	-3.023	eV/atom

First-principles (GGA-PBE) data for crystalline LuMg at its relaxed geometry, as listed in the Open Quantum Materials Database.

abc: 7.023 5.311 8.601
angles: 90.00 101.54 90.00
Element x y z (fractional)
Lu1 0.135 0.250 0.045
Lu2 0.202 0.750 0.294
Lu3 0.359 0.750 0.940
Lu4 0.641 0.250 0.060
Lu5 0.798 0.250 0.706
Lu6 0.865 0.750 0.955
Mg1 0.025 0.750 0.620
Mg2 0.301 0.250 0.699
Mg3 0.466 0.250 0.382
Mg4 0.534 0.750 0.618
Mg5 0.699 0.750 0.301
Mg6 0.975 0.250 0.380

Results
uncorrected energy	-3.040	eV/atom

First-principles (GGA-PBE) data for crystalline LuMg at its relaxed geometry, as listed in the Open Quantum Materials Database.

abc: 3.333 3.333 5.541
angles: 90.00 90.00 120.00
Element x y z (fractional)
Lu1 0.000 0.000 0.000
Mg1 0.667 0.333 0.500

Results
uncorrected energy	-2.946	eV/atom

First-principles (GGA-PBE) data for crystalline LuMg5 at its relaxed geometry, as listed in the Open Quantum Materials Database.

abc: 5.910 5.910 5.910
angles: 60.00 60.00 60.00
Element x y z (fractional)
Lu1 0.000 0.000 0.000
Mg1 0.374 0.374 0.374
Mg2 0.374 0.374 0.877
Mg3 0.374 0.877 0.374
Mg4 0.750 0.750 0.750
Mg5 0.877 0.374 0.374

Results
uncorrected energy	-2.011	eV/atom

First-principles (GGA-PBE) data for crystalline Lu5Mg at its relaxed geometry, as listed in the Open Quantum Materials Database.

abc: 6.329 6.329 5.582
angles: 90.00 90.00 120.00
Element x y z (fractional)
Lu1 0.000 0.500 0.000
Lu2 0.333 0.667 0.500
Lu3 0.500 0.000 0.000
Lu4 0.500 0.500 0.000
Lu5 0.667 0.333 0.500
Mg1 0.000 0.000 0.500

Results
uncorrected energy	-3.594	eV/atom

First-principles (GGA-PBE) data for crystalline LuMg at its relaxed geometry, as listed in the Open Quantum Materials Database.

abc: 6.760 5.392 8.857
angles: 90.00 99.93 90.00
Element x y z (fractional)
Lu1 0.026 0.250 0.109
Lu2 0.196 0.250 0.770
Lu3 0.305 0.750 0.220
Lu4 0.695 0.250 0.780
Lu5 0.804 0.750 0.230
Lu6 0.974 0.750 0.891
Mg1 0.143 0.750 0.554
Mg2 0.370 0.250 0.436
Mg3 0.474 0.750 0.889
Mg4 0.526 0.250 0.111
Mg5 0.630 0.750 0.564
Mg6 0.857 0.250 0.446

Results
uncorrected energy	-2.998	eV/atom

First-principles (GGA-PBE) data for crystalline LuMg at its relaxed geometry, as listed in the Open Quantum Materials Database.

abc: 6.772 6.772 5.410
angles: 90.00 90.00 120.00
Element x y z (fractional)
Lu1 0.000 0.000 0.000
Lu2 0.332 0.166 0.500
Lu3 0.834 0.166 0.500
Lu4 0.834 0.668 0.500
Mg1 0.333 0.667 0.500
Mg2 0.504 0.007 0.000
Mg3 0.504 0.496 0.000
Mg4 0.993 0.496 0.000

Results
uncorrected energy	-2.961	eV/atom